(1)
Compound: PmPaSbAu
Source: Alexandria
Functional: GGA-PBE
Structure: optimized geometry

Computed properties:
VASP energy, eV/cell: -93.7
Formation energy (no corrections), eV per atom: -0.44

Cell lengths 7.4872, 7.4872, 7.4872 Å; angles 90.00, 90.00, 90.00 degrees
Last column: nearest neighbours and their distance in Å.
Space group F-43m (No. 216)
Asymmetric unit:
Pm1 0.0000 0.0000 0.0000 x4  4 Sb 3.24, 4 Au 3.24
Pa1 0.0000 0.0000 0.5000 x4  4 Au 3.24, 4 Sb 3.24
Sb1 0.2500 0.2500 0.7500 x4  4 Pa 3.24, 4 Pm 3.24
Au1 0.2500 0.2500 0.2500 x4  4 Pm 3.24, 4 Pa 3.24

(2)
Compound: PmPaTcAu
Source: Alexandria
Functional: GGA-PBE
Structure: optimized geometry

Computed properties:
VASP energy, eV/cell: -113.8
ΔH_f (0 K), eV/atom: -0.139

Cell lengths 7.1086, 7.1086, 7.1086 Å; angles 90.00, 90.00, 90.00 degrees
Last column: nearest neighbours and their distance in Å.
Space group F-43m (No. 216)
Asymmetric unit:
Pm1 0.0000 0.0000 0.0000 x4  4 Tc 3.08, 4 Au 3.08
Pa1 0.0000 0.0000 0.5000 x4  4 Tc 3.08, 4 Au 3.08
Tc1 0.2500 0.2500 0.2500 x4  4 Pa 3.08, 4 Pm 3.08
Au1 0.2500 0.2500 0.7500 x4  4 Pa 3.08, 4 Pm 3.08

(3)
Compound: PmPaTlAu
Source: Alexandria
Functional: GGA-PBE
Structure: optimized geometry

Computed properties:
VASP energy, eV/cell: -81.5
ΔH_f (0 K), eV/atom: -0.119

Cell lengths 7.5141, 7.5141, 7.5141 Å; angles 90.00, 90.00, 90.00 degrees
Last column: nearest neighbours and their distance in Å.
Space group F-43m (No. 216)
Asymmetric unit:
Pm1 0.0000 0.0000 0.0000 x4  4 Au 3.25, 4 Tl 3.25
Pa1 0.0000 0.0000 0.5000 x4  4 Tl 3.25, 4 Au 3.25
Tl1 0.2500 0.2500 0.7500 x4  4 Pa 3.25, 4 Pm 3.25
Au1 0.2500 0.2500 0.2500 x4  4 Pa 3.25, 4 Pm 3.25

(4)
Compound: Pr2PaAu
Source: Alexandria
Functional: GGA-PBE
Structure: optimized geometry

Computed properties:
VASP energy, eV/cell: -23.1
ΔH_f (0 K), eV/atom: -0.197

Cell lengths 3.6099, 3.6099, 8.5677 Å; angles 90.00, 90.00, 90.00 degrees
Last column: nearest neighbours and their distance in Å.
Space group P4/mmm (No. 123)
Asymmetric unit:
Pr1 0.0000 0.0000 0.2278 x2  4 Au 3.21, 4 Pa 3.46
Pa1 0.5000 0.5000 0.5000 x1  8 Pr 3.46, 4 Pa 3.61
Au1 0.5000 0.5000 0.0000 x1  8 Pr 3.21

(5)
Compound: Pr2PaAu
Source: Alexandria
Functional: GGA-PBE
Structure: optimized geometry

Computed properties:
VASP energy, eV/cell: -65.3
ΔH_f (0 K), eV/atom: 0.144

Cell lengths 3.3493, 3.3493, 34.7976 Å; angles 90.00, 90.00, 120.00 degrees
Last column: nearest neighbours and their distance in Å.
Space group R-3m (No. 166, hexagonal axes)
Asymmetric unit:
Pr1 0.0000 0.0000 0.0948 x6  3 Au 3.16, 1 Pa 3.30, 6 Pr 3.35
Pa1 0.0000 0.0000 0.0000 x3  2 Pr 3.30, 6 Pa 3.35
Au1 0.0000 0.0000 0.5000 x3  6 Pr 3.16, 6 Au 3.35

(6)
Compound: PrPaSnAu
Source: Alexandria
Functional: GGA-PBE
Structure: optimized geometry

Computed properties:
VASP energy, eV/cell: -91.1
ΔH_f (0 K), eV/atom: -0.304

Cell lengths 7.5546, 7.5546, 7.5546 Å; angles 90.00, 90.00, 90.00 degrees
Last column: nearest neighbours and their distance in Å.
Space group F-43m (No. 216)
Asymmetric unit:
Pr1 0.0000 0.0000 0.0000 x4  4 Au 3.27, 4 Sn 3.27
Pa1 0.0000 0.0000 0.5000 x4  4 Sn 3.27, 4 Au 3.27
Sn1 0.2500 0.2500 0.7500 x4  4 Pr 3.27, 4 Pa 3.27
Au1 0.2500 0.2500 0.2500 x4  4 Pa 3.27, 4 Pr 3.27

(7)
Compound: PrPaTlAu
Source: Alexandria
Functional: GGA-PBE
Structure: optimized geometry

Computed properties:
VASP energy, eV/cell: -81.3
ΔH_f (0 K), eV/atom: -0.101

Cell lengths 7.5658, 7.5658, 7.5658 Å; angles 90.00, 90.00, 90.00 degrees
Last column: nearest neighbours and their distance in Å.
Space group F-43m (No. 216)
Asymmetric unit:
Pr1 0.0000 0.0000 0.0000 x4  4 Au 3.28, 4 Tl 3.28
Pa1 0.0000 0.0000 0.5000 x4  4 Tl 3.28, 4 Au 3.28
Tl1 0.2500 0.2500 0.7500 x4  4 Pr 3.28, 4 Pa 3.28
Au1 0.2500 0.2500 0.2500 x4  4 Pa 3.28, 4 Pr 3.28

(8)
Compound: PrPaZnAu
Source: Alexandria
Functional: GGA-PBE
Structure: optimized geometry

Computed properties:
VASP energy, eV/cell: -77.5
ΔH_f (0 K), eV/atom: -0.138

Cell lengths 7.3223, 7.3223, 7.3223 Å; angles 90.00, 90.00, 90.00 degrees
Last column: nearest neighbours and their distance in Å.
Space group F-43m (No. 216)
Asymmetric unit:
Pr1 0.0000 0.0000 0.0000 x4  4 Zn 3.17, 4 Au 3.17
Pa1 0.0000 0.0000 0.5000 x4  4 Zn 3.17, 4 Au 3.17
Zn1 0.2500 0.2500 0.7500 x4  4 Pr 3.17, 4 Pa 3.17
Au1 0.2500 0.2500 0.2500 x4  4 Pa 3.17, 4 Pr 3.17

> Number 5 is which compound?

Pr2PaAu

> Which value of VASP energy does entry 6 give?

-91.1 eV/cell

> Among the records above, which one has the highest VASP energy?

number 4